# 1
A plane-wave DFT calculation with GGA-PBE was carried out for NaSrIBr2 after structural relaxation.

Uncorrected formation energy: -1.558 eV/atom
Crystal system: tetragonal
SG: P4/mmm (123)
Energy above the most stable polymorph in this dataset: 87 kJ/mol of formula units

Unit cell a=5.925 b=6.517 c=5.925 alpha=90.00 beta=90.00 gamma=90.00
Atoms (fractional coordinates):
I  0.000  0.500  0.000
Sr  0.000  0.000  0.000
Br  0.000  0.000  0.500
Br  0.500  0.000  0.000
Na  0.500  0.500  0.500


# 2
A plane-wave DFT calculation with GGA-PBE was carried out for NaSrI2Br after structural relaxation.

Uncorrected formation energy: -1.635 eV/atom
Crystal system: monoclinic
SG: P2_1/m (11)

Unit cell a=4.693 b=11.339 c=8.145 alpha=89.78 beta=90.00 gamma=90.00
Atoms (fractional coordinates):
Na  0.250  0.001  0.767
Na  0.750  0.999  0.233
Sr  0.750  0.338  0.597
Sr  0.250  0.662  0.403
I  0.750  0.160  0.911
I  0.250  0.840  0.089
I  0.250  0.166  0.429
I  0.750  0.834  0.571
Br  0.750  0.506  0.295
Br  0.250  0.494  0.705


# 3
A plane-wave DFT calculation with GGA-PBE was carried out for NaSrIBr2 after structural relaxation.

Uncorrected formation energy: -1.739 eV/atom
Crystal system: monoclinic
SG: P2_1/m (11)
Energy above the most stable polymorph in this dataset: 0 kJ/mol of formula units

Unit cell a=5.084 b=8.516 c=11.765 alpha=126.80 beta=90.00 gamma=90.00
Atoms (fractional coordinates):
Na  0.250  0.708  0.536
Na  0.750  0.292  0.464
Sr  0.250  0.663  0.927
Sr  0.750  0.337  0.073
I  0.250  0.015  0.866
I  0.750  0.985  0.134
Br  0.750  0.586  0.405
Br  0.250  0.414  0.595
Br  0.750  0.399  0.838
Br  0.250  0.601  0.162


# 4
A plane-wave DFT calculation with GGA-PBE was carried out for Na2SrI2Br2 after structural relaxation.

Uncorrected formation energy: -1.585 eV/atom
Crystal system: triclinic
SG: P-1 (2)

Unit cell a=4.648 b=8.484 c=8.873 alpha=62.11 beta=61.48 gamma=69.60
Atoms (fractional coordinates):
Na  0.088  0.566  0.702
Na  0.912  0.434  0.298
Sr  0.000  0.000  0.000
I  0.301  0.240  0.561
I  0.699  0.760  0.439
Br  0.315  0.256  0.021
Br  0.685  0.744  0.979


# 5
A plane-wave DFT calculation with GGA-PBE was carried out for NaTcI2Br after structural relaxation.

Uncorrected formation energy: 0.430 eV/atom
Crystal system: tetragonal
SG: P4/mmm (123)

Unit cell a=6.913 b=4.813 c=6.913 alpha=90.00 beta=90.00 gamma=90.00
Atoms (fractional coordinates):
I  0.000  0.000  0.500
I  0.500  0.000  0.000
Na  0.500  0.500  0.500
Tc  0.000  0.500  0.000
Br  0.000  0.000  0.000


# 6
A plane-wave DFT calculation with GGA-PBE was carried out for NaTcIBr2 after structural relaxation.

Uncorrected formation energy: -0.037 eV/atom
Crystal system: tetragonal
SG: P4/mmm (123)

Unit cell a=4.825 b=7.465 c=4.825 alpha=90.00 beta=90.00 gamma=90.00
Atoms (fractional coordinates):
I  0.500  0.500  0.500
Na  0.000  0.500  0.000
Tc  0.000  0.000  0.000
Br  0.000  0.000  0.500
Br  0.500  0.000  0.000


# 7
A plane-wave DFT calculation with GGA-PBE was carried out for NaTeI2Br after structural relaxation.

Uncorrected formation energy: -0.407 eV/atom
Crystal system: tetragonal
SG: P4/mmm (123)
Energy above the most stable polymorph in this dataset: 0 kJ/mol of formula units

Unit cell a=6.311 b=6.311 c=5.560 alpha=90.00 beta=90.00 gamma=90.00
Atoms (fractional coordinates):
I  0.000  0.500  0.000
I  0.500  0.000  0.000
Na  0.500  0.500  0.500
Te  0.000  0.000  0.000
Br  0.000  0.000  0.500


# 8
A plane-wave DFT calculation with GGA-PBE was carried out for Na6TeI2Br2 after structural relaxation.

Uncorrected formation energy: -1.215 eV/atom
Crystal system: monoclinic
SG: C2/m (12)

Unit cell a=7.805 b=7.805 c=8.005 alpha=101.48 beta=101.48 gamma=118.11
Atoms (fractional coordinates):
Na  0.767  0.767  0.713
Na  0.042  0.397  0.708
Na  0.233  0.233  0.287
Na  0.397  0.042  0.708
Na  0.958  0.603  0.292
Na  0.603  0.958  0.292
Te  0.000  0.000  0.500
I  0.823  0.177  0.000
I  0.177  0.823  0.000
Br  0.344  0.656  0.500
Br  0.656  0.344  0.500


# 9
A plane-wave DFT calculation with GGA-PBE was carried out for NaTeI2Br after structural relaxation.

Uncorrected formation energy: 0.013 eV/atom
Crystal system: tetragonal
SG: P4/mmm (123)
Energy above the most stable polymorph in this dataset: 203 kJ/mol of formula units

Unit cell a=5.942 b=5.942 c=5.754 alpha=90.00 beta=90.00 gamma=90.00
Atoms (fractional coordinates):
I  0.000  0.500  0.000
I  0.500  0.000  0.000
Na  0.500  0.500  0.500
Te  0.000  0.000  0.500
Br  0.000  0.000  0.000


# 10
A plane-wave DFT calculation with GGA-PBE was carried out for NaTeI2Br after structural relaxation.

Uncorrected formation energy: 0.230 eV/atom
Crystal system: tetragonal
SG: P4/mmm (123)
Energy above the most stable polymorph in this dataset: 307 kJ/mol of formula units

Unit cell a=5.726 b=5.726 c=6.335 alpha=90.00 beta=90.00 gamma=90.00
Atoms (fractional coordinates):
I  0.000  0.500  0.000
I  0.500  0.000  0.000
Na  0.000  0.000  0.000
Te  0.000  0.000  0.500
Br  0.500  0.500  0.500


# 11
A plane-wave DFT calculation with GGA-PBE was carried out for Na2Tl3I2Br4 after structural relaxation.

Uncorrected formation energy: -0.874 eV/atom
Crystal system: tetragonal
SG: I4/mmm (139)

Unit cell a=5.633 b=5.633 c=13.969 alpha=101.63 beta=101.63 gamma=90.00
Atoms (fractional coordinates):
Na  0.398  0.398  0.796
Na  0.602  0.602  0.204
Tl  0.000  0.000  0.000
Tl  0.147  0.147  0.294
Tl  0.853  0.853  0.706
I  0.276  0.276  0.553
I  0.724  0.724  0.447
Br  0.420  0.920  0.840
Br  0.920  0.420  0.840
Br  0.080  0.580  0.160
Br  0.580  0.080  0.160


# 12
A plane-wave DFT calculation with GGA-PBE was carried out for NaTl2IBr4 after structural relaxation.

Uncorrected formation energy: -0.758 eV/atom
Crystal system: monoclinic
SG: P2/m (10)

Unit cell a=4.918 b=7.519 c=8.526 alpha=85.44 beta=90.00 gamma=90.00
Atoms (fractional coordinates):
Na  0.000  0.500  0.500
Tl  0.000  0.000  0.000
Tl  0.500  0.000  0.500
I  0.500  0.500  0.000
Br  0.000  0.795  0.685
Br  0.000  0.205  0.315
Br  0.500  0.690  0.263
Br  0.500  0.310  0.737


# 13
A plane-wave DFT calculation with GGA-PBE was carried out for Na2Tl3I4Br2 after structural relaxation.

Uncorrected formation energy: -0.752 eV/atom
Crystal system: tetragonal
SG: I4/mmm (139)

Unit cell a=6.124 b=6.124 c=13.021 alpha=103.60 beta=103.60 gamma=90.00
Atoms (fractional coordinates):
Na  0.391  0.391  0.783
Na  0.609  0.609  0.217
Tl  0.000  0.000  0.000
Tl  0.163  0.163  0.327
Tl  0.837  0.837  0.673
I  0.415  0.915  0.830
I  0.915  0.415  0.830
I  0.085  0.585  0.170
I  0.585  0.085  0.170
Br  0.279  0.279  0.557
Br  0.721  0.721  0.443


# 14
A plane-wave DFT calculation with GGA-PBE was carried out for Na3UI2Br6 after structural relaxation.

Uncorrected formation energy: -1.262 eV/atom
Crystal system: monoclinic
SG: C2/m (12)

Unit cell a=6.598 b=8.877 c=9.044 alpha=119.39 beta=93.55 gamma=90.00
Atoms (fractional coordinates):
Na  0.000  0.500  0.000
Na  0.500  0.500  0.500
Na  0.500  0.000  0.500
U  0.500  0.000  0.000
I  0.225  0.674  0.348
I  0.775  0.326  0.652
Br  0.737  0.292  0.152
Br  0.263  0.708  0.848
Br  0.731  0.865  0.729
Br  0.269  0.135  0.271
Br  0.263  0.141  0.848
Br  0.737  0.859  0.152


# 15
A plane-wave DFT calculation with GGA-PBE was carried out for NaUIBr4 after structural relaxation.

Uncorrected formation energy: -1.277 eV/atom
Crystal system: monoclinic
SG: C2/m (12)

Unit cell a=8.065 b=8.065 c=11.167 alpha=70.14 beta=70.14 gamma=72.20
Atoms (fractional coordinates):
Na  0.622  0.622  0.608
Na  0.378  0.378  0.392
U  0.134  0.134  0.787
U  0.866  0.866  0.213
I  0.127  0.127  0.068
I  0.873  0.873  0.932
Br  0.127  0.127  0.546
Br  0.873  0.873  0.454
Br  0.161  0.583  0.203
Br  0.631  0.631  0.332
Br  0.417  0.839  0.797
Br  0.583  0.161  0.203
Br  0.369  0.369  0.668
Br  0.839  0.417  0.797


# 16
A plane-wave DFT calculation with GGA-PBE was carried out for NaZrI2Br after structural relaxation.

Uncorrected formation energy: -0.717 eV/atom
Crystal system: tetragonal
SG: P4/mmm (123)

Unit cell a=5.866 b=5.327 c=5.866 alpha=90.00 beta=90.00 gamma=90.00
Atoms (fractional coordinates):
I  0.000  0.000  0.500
I  0.500  0.000  0.000
Na  0.500  0.500  0.500
Br  0.000  0.500  0.000
Zr  0.000  0.000  0.000


# 17
A plane-wave DFT calculation with GGA-PBE was carried out for NaZrIBr2 after structural relaxation.

Uncorrected formation energy: 0.128 eV/atom
Crystal system: tetragonal
SG: P4/mmm (123)

Unit cell a=6.929 b=5.324 c=6.929 alpha=90.00 beta=90.00 gamma=90.00
Atoms (fractional coordinates):
I  0.000  0.000  0.000
Na  0.500  0.500  0.500
Br  0.000  0.000  0.500
Br  0.500  0.000  0.000
Zr  0.000  0.500  0.000


# 18
A plane-wave DFT calculation with GGA-PBE was carried out for NbIBr3 after structural relaxation.

Uncorrected formation energy: -0.638 eV/atom
Crystal system: monoclinic
SG: P2_1/m (11)
Energy above the most stable polymorph in this dataset: 0 kJ/mol of formula units

Unit cell a=3.327 b=8.792 c=11.878 alpha=91.18 beta=90.00 gamma=90.00
Atoms (fractional coordinates):
Nb  0.750  0.803  0.233
Nb  0.250  0.197  0.767
I  0.250  0.518  0.707
I  0.750  0.482  0.293
Br  0.250  0.819  0.409
Br  0.750  0.963  0.809
Br  0.250  0.698  0.074
Br  0.750  0.181  0.591
Br  0.750  0.302  0.926
Br  0.250  0.037  0.191


# 19
A plane-wave DFT calculation with GGA-PBE was carried out for NbI6Br after structural relaxation.

Uncorrected formation energy: -0.289 eV/atom
Crystal system: triclinic
SG: P-1 (2)

Unit cell a=7.992 b=6.810 c=9.909 alpha=53.94 beta=61.49 gamma=74.28
Atoms (fractional coordinates):
Nb  0.000  0.000  0.000
I  0.107  0.477  0.674
I  0.787  0.933  0.881
I  0.694  0.203  0.159
I  0.213  0.067  0.119
I  0.893  0.523  0.326
I  0.306  0.797  0.841
Br  0.500  0.500  0.500


# 20
A plane-wave DFT calculation with GGA-PBE was carried out for NbIBr3 after structural relaxation.

Uncorrected formation energy: -0.233 eV/atom
Crystal system: cubic
SG: Pm-3m (221)
Energy above the most stable polymorph in this dataset: 195 kJ/mol of formula units

Unit cell a=5.219 b=5.219 c=5.219 alpha=90.00 beta=90.00 gamma=90.00
Atoms (fractional coordinates):
I  0.500  0.500  0.500
Nb  0.000  0.000  0.000
Br  0.000  0.500  0.000
Br  0.000  0.000  0.500
Br  0.500  0.000  0.000


Number 1: spin magnetization 0.0 Bohr magnetons per cell. Number 2: spin magnetization 0.0 Bohr magnetons per cell. Number 3: spin magnetization 0.0 Bohr magnetons per cell. Number 4: spin magnetization 0.0 Bohr magnetons per cell. Number 5: spin magnetization 4.6 Bohr magnetons per cell. Number 6: spin magnetization 1.1 Bohr magnetons per cell. Number 7: spin magnetization 0.0 Bohr magnetons per cell. Number 8: spin magnetization 0.1 Bohr magnetons per cell. Number 9: spin magnetization 0.0 Bohr magnetons per cell. Number 10: spin magnetization 1.8 Bohr magnetons per cell. Number 11: spin magnetization 1.1 Bohr magnetons per cell. Number 12: spin magnetization 0.0 Bohr magnetons per cell. Number 13: spin magnetization 0.0 Bohr magnetons per cell. Number 14: spin magnetization 0.9 Bohr magnetons per cell. Number 15: spin magnetization 4.0 Bohr magnetons per cell. Number 16: spin magnetization 0.0 Bohr magnetons per cell. Number 17: spin magnetization 2.0 Bohr magnetons per cell. Number 18: spin magnetization 1.3 Bohr magnetons per cell. Number 19: spin magnetization 0.0 Bohr magnetons per cell. Number 20: spin magnetization 0.0 Bohr magnetons per cell.